! YTiRuPt2 PBE optimized geometry; values from VASP
&SYSTEM
  ibrav = 0, nat = 5, ntyp = 4
/
ATOMIC_SPECIES
Ti 47.87 Ti.upf
Ru 101.07 Ru.upf
Pt 195.08 Pt.upf
Y 88.91 Y.upf
CELL_PARAMETERS angstrom
4.601 0.000 0.000
0.000 5.053 0.000
0.000 0.000 4.601
ATOMIC_POSITIONS angstrom
Ti 0.000 0.000 0.000
Ru 2.301 2.527 2.301
Pt 2.301 0.000 0.000
Pt 0.000 0.000 2.301
Y 0.000 2.527 0.000
! Calculated volume = 21.40 A^3/atom
! Symmetry = P4/mmm, No. 123
! DFT total energy = -6.381 eV/atom
! Formation energy from the elements = 762 meV/atom